Density functional theory data (GGA-PBE) for a relaxed HoHfAlCu crystal.

Computed properties:
- Formation energy from the elements: -0.67 eV/f.u.
- VASP energy: -23.04 eV per cell
- Magnetic moment: 0.0 Bohr magnetons per cell
- Crystal system: cubic

Cell and atoms, written as POSCAR:
```
HoHfAlCu
1.0
-2.0457 1.7726 -4.0067
-4.5724 1.5690 0.1109
-0.9419 4.7302 -0.3441
Hf Ho Cu Al
1 1 1 1
Cartesian
-3.7800 4.0359 -2.1199
0.0000 0.0000 0.0000
-1.8900 2.0180 -1.0600
-5.6700 6.0539 -3.1799
```

***

Density functional theory data (GGA-PBE) for a relaxed LiHfAlCu crystal.

Computed properties:
- Formation energy from the elements: -0.75 eV/f.u.
- VASP energy: -20.46 eV per cell
- Magnetic moment: 0.0 Bohr magnetons per cell
- Crystal system: cubic

Cell and atoms, written as POSCAR:
```
LiHfAlCu
1.0
-1.4388 -2.6979 -3.1675
1.6471 -4.0684 -0.3425
-2.4924 -3.4783 1.0353
Hf Al Cu Li
1 1 1 1
Cartesian
-1.1420 -5.1223 -1.2374
0.0000 0.0000 0.0000
-0.5710 -2.5611 -0.6187
-1.7131 -7.6834 -1.8561
```

***

Density functional theory data (GGA-PBE) for a relaxed LuHfAlCu crystal.

Computed properties:
- Formation energy from the elements: -0.76 eV/f.u.
- VASP energy: -23.07 eV per cell
- Magnetic moment: 0.0 Bohr magnetons per cell
- Crystal system: cubic

Cell and atoms, written as POSCAR:
```
LuHfAlCu
1.0
-1.6665 -4.4535 0.5741
2.7851 -3.3643 1.9659
-0.9703 -1.6463 4.3919
Lu Hf Al Cu
1 1 1 1
Cartesian
0.0371 -2.3660 1.7330
0.1112 -7.0981 5.1990
0.0000 0.0000 0.0000
0.0742 -4.7320 3.4660
```

***

Density functional theory data (GGA-PBE) for a relaxed HfNb2AlCu crystal.

Computed properties:
- Formation energy from the elements: 6.05 eV/f.u.
- VASP energy: -31.88 eV per cell
- Magnetic moment: 0.6 Bohr magnetons per cell
- Crystal system: tetragonal

Cell and atoms, written as POSCAR:
```
HfNb2AlCu
1.0
-0.7063 4.5663 -0.9125
-3.9986 -1.1366 -2.5927
-2.6282 0.3710 3.8907
Nb Hf Al Cu
2 1 1 1
Cartesian
-1.3141 0.1855 1.9453
-0.3531 2.2832 -0.4562
-1.9993 -0.5683 -1.2964
0.0000 0.0000 0.0000
-3.6665 1.9004 0.1927
```

***

Density functional theory data (GGA-PBE) for a relaxed HfAlCuOs crystal.

Computed properties:
- Formation energy from the elements: -1.58 eV/f.u.
- VASP energy: -30.60 eV per cell
- Magnetic moment: 0.0 Bohr magnetons per cell
- Crystal system: cubic

Cell and atoms, written as POSCAR:
```
HfAlCuOs
1.0
4.4414 0.0000 0.0000
2.2207 3.8464 0.0000
2.2207 1.2821 3.6264
Hf Os Al Cu
1 1 1 1
Cartesian
0.0000 0.0000 0.0000
2.2207 1.2821 0.9066
4.4414 2.5642 1.8132
6.6621 3.8464 2.7198
```

***

Density functional theory data (GGA-PBE) for a relaxed Hf3Al3CuPd2 crystal.

Computed properties:
- Formation energy from the elements: -5.52 eV/f.u.
- VASP energy: -61.09 eV per cell
- Magnetic moment: 0.0 Bohr magnetons per cell
- Crystal system: hexagonal

Cell and atoms, written as POSCAR:
```
Hf3Al3CuPd2
1.0
-0.4152 3.1218 -1.5154
-5.7221 -2.4649 -3.5101
-0.7798 3.0201 6.4351
Hf Al Cu Pd
3 3 1 2
Cartesian
-0.3082 1.1935 2.5431
-3.9325 0.3357 1.7691
-2.2613 -0.9741 -1.3872
-4.4873 -0.2827 -3.3830
-1.8467 1.7008 -0.0203
-0.7909 3.8196 4.0552
0.0000 0.0000 0.0000
-2.6349 2.7526 2.3623
-4.2823 0.9243 -0.9527
```

***

Density functional theory data (GGA-PBE) for a relaxed Hf2AlCuPt crystal.

Computed properties:
- Formation energy from the elements: 0.99 eV/f.u.
- VASP energy: -32.80 eV per cell
- Magnetic moment: 0.0 Bohr magnetons per cell
- Crystal system: tetragonal

Cell and atoms, written as POSCAR:
```
Hf2AlCuPt
1.0
-2.2772 -2.5918 -3.3519
3.3861 0.3824 -2.5961
1.8699 -4.0295 1.8453
Hf Cu Pt Al
2 1 1 1
Cartesian
0.9349 -2.0148 0.9227
-1.1386 -1.2959 -1.6760
0.0000 0.0000 0.0000
1.4894 -3.1194 -2.0514
1.6930 0.1912 -1.2981
```

***

Density functional theory data (GGA-PBE) for a relaxed HfAlCuRe2 crystal.

Computed properties:
- Formation energy from the elements: 11.20 eV/f.u.
- VASP energy: -31.49 eV per cell
- Magnetic moment: 2.5 Bohr magnetons per cell
- Crystal system: tetragonal

Cell and atoms, written as POSCAR:
```
HfAlCuRe2
1.0
-3.2883 1.9033 2.9515
-3.2121 0.4483 -3.8678
-1.7205 -4.3980 0.9191
Re Hf Al Cu
2 1 1 1
Cartesian
-0.8603 -2.1990 0.4596
-1.6442 0.9516 1.4758
0.0000 0.0000 0.0000
-1.6061 0.2242 -1.9339
-4.1105 -1.0232 0.0014
```

***

Density functional theory data (GGA-PBE) for a relaxed Hf2AlCuS crystal.

Computed properties:
- VASP energy: -30.19 eV per cell
- E_form (uncorrected): 0.3372 eV/atom
- Magnetic moment: 0.0 Bohr magnetons per cell
- Crystal system: tetragonal

Cell and atoms, written as POSCAR:
```
Hf2AlCuS
1.0
-0.5142 4.8438 0.7658
-3.8523 -0.6738 1.6753
2.0286 -0.4909 4.4673
S Hf Al Cu
1 2 1 1
Cartesian
-1.1690 1.8395 3.4542
1.0143 -0.2454 2.2337
-0.2571 2.4219 0.3829
-1.9261 -0.3369 0.8376
0.0000 0.0000 0.0000
```

***

Density functional theory data (GGA-PBE) for a relaxed HfAlCuS4 crystal.

Computed properties:
- VASP energy: -84.02 eV per cell
- E_form (uncorrected): -1.1012 eV/atom
- Magnetic moment: 0.0 Bohr magnetons per cell
- Crystal system: orthorhombic

Cell and atoms, written as POSCAR:
```
HfAlCuS4
1.0
7.1677 0.0000 0.0000
3.5839 6.2958 0.1212
3.5839 2.0334 5.9596
Hf Al Cu S
2 2 2 8
Cartesian
0.0000 0.0000 0.0000
3.5839 4.1646 3.0404
5.3758 1.0167 2.9798
1.7919 1.0167 2.9798
7.1677 4.1188 0.7694
7.1677 4.2104 5.3114
10.7516 6.3221 4.4177
7.1677 6.3601 4.4455
7.1677 1.9691 1.6353
3.5839 2.0071 1.6631
5.3613 5.2846 1.6205
8.9741 5.2846 1.6205
5.3613 3.0447 4.4603
8.9741 3.0447 4.4603
```

***

Density functional theory data (GGA-PBE) for a relaxed HfScAl2Cu crystal.

Computed properties:
- Formation energy from the elements: 4.67 eV/f.u.
- VASP energy: -23.20 eV per cell
- Magnetic moment: 0.0 Bohr magnetons per cell
- Crystal system: tetragonal

Cell and atoms, written as POSCAR:
```
HfScAl2Cu
1.0
4.8954 0.0000 0.0000
0.0000 4.4861 0.0000
0.0000 0.0000 4.8954
Sc Hf Al Cu
1 1 2 1
Cartesian
0.0000 0.0000 0.0000
2.4477 2.2431 2.4477
0.0000 0.0000 2.4477
2.4477 0.0000 0.0000
0.0000 2.2431 0.0000
```

***

Density functional theory data (GGA-PBE) for a relaxed Hf2AlCuSe crystal.

Computed properties:
- VASP energy: -30.00 eV per cell
- E_form (uncorrected): 0.2453 eV/atom
- Magnetic moment: 0.0 Bohr magnetons per cell
- Crystal system: tetragonal

Cell and atoms, written as POSCAR:
```
Hf2AlCuSe
1.0
-3.6013 0.1145 3.3982
0.0946 -4.3888 0.2482
3.3984 0.2763 3.5923
Hf Cu Se Al
2 1 1 1
Cartesian
1.6992 0.1382 1.7961
-1.8007 0.0573 1.6991
0.0473 -2.1944 0.1241
0.0000 0.0000 0.0000
-0.0541 -1.9990 3.6193
```

***

Density functional theory data (GGA-PBE) for a relaxed SrHfAl2Cu crystal.

Computed properties:
- Formation energy from the elements: 2.23 eV/f.u.
- VASP energy: -20.99 eV per cell
- Magnetic moment: 0.0 Bohr magnetons per cell
- Crystal system: tetragonal

Cell and atoms, written as POSCAR:
```
SrHfAl2Cu
1.0
5.3210 0.0000 0.0000
0.0000 4.8882 0.0000
0.0000 0.0000 5.3210
Sr Hf Al Cu
1 1 2 1
Cartesian
2.6605 2.4441 2.6605
0.0000 0.0000 0.0000
0.0000 0.0000 2.6605
2.6605 0.0000 0.0000
0.0000 2.4441 0.0000
```

***

Density functional theory data (GGA-PBE) for a relaxed HfTaAl2Cu crystal.

Computed properties:
- Formation energy from the elements: 1.87 eV/f.u.
- VASP energy: -31.51 eV per cell
- Magnetic moment: 0.0 Bohr magnetons per cell
- Crystal system: tetragonal

Cell and atoms, written as POSCAR:
```
HfTaAl2Cu
1.0
4.3973 0.0000 0.0000
0.0000 4.8308 0.0000
0.0000 0.0000 4.3973
Hf Al Cu Ta
1 2 1 1
Cartesian
2.1987 2.4154 2.1987
0.0000 0.0000 2.1987
2.1987 0.0000 0.0000
0.0000 0.0000 0.0000
0.0000 2.4154 0.0000
```